# AcTlZnCd

A relaxed AcTlZnCd crystal (GGA-PBE, Alexandria).

Unit cell a=5.367 b=5.367 c=5.367 alpha=60.00 beta=60.00 gamma=60.00
Atoms (fractional coordinates):
Ac 0.000 0.000 0.000
Tl 0.750 0.750 0.750
Zn 0.250 0.250 0.250
Cd 0.500 0.500 0.500

Computed properties:
- formation enthalpy at 0 K (kJ/mol of atoms) = -20

---

# TlCd3

A relaxed TlCd3 crystal (GGA-PBE, Alexandria).

Unit cell a=10.417 b=10.417 c=10.417 alpha=18.62 beta=18.62 gamma=18.62
Atoms (fractional coordinates):
Tl 0.000 0.000 0.000
Cd 0.245 0.245 0.245
Cd 0.500 0.500 0.500
Cd 0.755 0.755 0.755

Computed properties:
- formation enthalpy at 0 K (kJ/mol of atoms) = 6

---

# Pr6Mg2N

A relaxed Pr6Mg2N crystal (GGA-PBE, Alexandria).

Unit cell a=7.276 b=7.276 c=7.279 alpha=120.00 beta=120.00 gamma=60.06
Atoms (fractional coordinates):
Pr 0.240 0.758 0.758
Pr 0.242 0.242 0.240
Pr 0.242 0.760 0.242
Pr 0.758 0.240 0.758
Pr 0.758 0.758 0.760
Pr 0.760 0.242 0.242
Mg 0.250 0.250 0.750
Mg 0.750 0.750 0.250
N 0.000 0.000 0.000

---

# Ac2BeAl

A relaxed Ac2BeAl crystal (GGA-PBE, Alexandria).

Unit cell a=11.401 b=11.401 c=11.401 alpha=19.26 beta=19.26 gamma=19.26
Atoms (fractional coordinates):
Ac 0.095 0.095 0.095
Ac 0.905 0.905 0.905
Be 0.000 0.000 0.000
Al 0.500 0.500 0.500

Computed properties:
- polymorph energy (0 for the lowest one) (eV per atom) = 0.675
- formation enthalpy at 0 K (kJ/mol of atoms) = 73

---

# YBe2Co

A relaxed YBe2Co crystal (GGA-PBE, Alexandria).

Unit cell a=2.927 b=2.927 c=6.268 alpha=90.00 beta=90.00 gamma=90.00
Atoms (fractional coordinates):
Y 0.000 0.000 0.000
Be 0.500 0.500 0.333
Be 0.500 0.500 0.667
Co 0.000 0.000 0.500

Computed properties:
- polymorph energy (0 for the lowest one) (eV per atom) = 0.209
- formation enthalpy at 0 K (kJ/mol of atoms) = 2

---

# KLi2Tl

A relaxed KLi2Tl crystal (GGA-PBE, Alexandria).

Unit cell a=9.400 b=9.400 c=9.400 alpha=24.46 beta=24.46 gamma=24.46
Atoms (fractional coordinates):
K 0.000 0.000 0.000
Li 0.504 0.504 0.504
Li 0.779 0.779 0.779
Tl 0.230 0.230 0.230

Computed properties:
- polymorph energy (0 for the lowest one) (eV per atom) = 0.117
- formation enthalpy at 0 K (kJ/mol of atoms) = 6

---

| no. | raw total energy (eV/cell) |
| --- | --- |
| 1 | -9.50 |
| 2 | -4.87 |
| 3 | -42.72 |
| 4 | -12.68 |
| 5 | -20.96 |
| 6 | -7.04 |